# Ag2P2Pt

A geometry-optimized Ag2P2Pt structure (GGA-PBE, Alexandria via LeMat-Bulk). Values from VASP.

Computed properties:
DFT formation energy, meV per atom: -146
V, Å³/f.u.: 89.2
Total moment, μB per formula unit: 0.0
Density of states at the Fermi level, states/eV/cell: 3.28

The structure in Quantum ESPRESSO input format:
```
&SYSTEM
  ibrav = 0, nat = 10, ntyp = 3
/
ATOMIC_SPECIES
P 30.97 P.upf
Ag 107.87 Ag.upf
Pt 195.08 Pt.upf
CELL_PARAMETERS angstrom
-1.302 -5.263 -2.499
0.130 -2.586 5.379
-4.885 0.938 0.569
ATOMIC_POSITIONS crystal
P 0.631 0.131 0.000
Ag 0.821 0.679 0.500
Ag 0.321 0.821 0.500
P 0.869 0.631 0.000
P 0.131 0.369 0.000
Pt 0.500 0.500 0.000
Pt 0.000 0.000 0.000
P 0.369 0.869 0.000
Ag 0.679 0.179 0.500
Ag 0.179 0.321 0.500
```